(1)
The following is a PBE calculation of an optimized crystal structure of KFeBi2W, from Alexandria.

Computed properties:
Calculated formation energy, eV/atom: 0.749
Calculated volume, A^3/atom: 29.82
Electronic total energy, eV/atom: -5.31

a b c (Å): 5.452 5.452 5.015
angles (deg): 90.00 90.00 90.00
Positions (direct):
K 0.000 0.000 0.000
Fe 0.500 0.500 0.000
Bi 0.000 0.500 0.500
Bi 0.500 0.000 0.500
W 0.500 0.500 0.500



(2)
The following is a PBE calculation of an optimized crystal structure of La3FeBi, from Alexandria.

Computed properties:
Calculated formation energy, eV/atom: 0.253
Calculated volume, A^3/atom: 39.48
Electronic total energy, eV/atom: -5.17

a b c (Å): 4.869 4.869 8.327
angles (deg): 90.00 90.00 90.00
Positions (direct):
La 0.000 0.000 0.000
La 0.000 0.500 0.647
La 0.500 0.000 0.647
Fe 0.500 0.500 0.783
Bi 0.000 0.000 0.372